# 1
Here is a relaxed MgCdWS2 crystal from Alexandria. Energies are from PBE.

a = 4.599 Å, b = 4.599 Å, c = 5.672 Å
α = 90.00°, β = 90.00°, γ = 90.00°
Sites, in units of the cell vectors:
S  0.000  0.500  0.000
S  0.500  0.000  0.000
Mg  0.500  0.500  0.500
W  0.000  0.000  0.000
Cd  0.000  0.000  0.500

As for the formation energy (no corrections): 0.128 eV per atom. Its density of states at the Fermi level is 0.3150 states/eV per atom.

# 2
Here is a relaxed Sc3PtRh crystal from Alexandria. Energies are from PBE.

a = 4.969 Å, b = 4.969 Å, c = 4.969 Å
α = 90.00°, β = 90.00°, γ = 90.00°
Sites, in units of the cell vectors:
Sc  0.000  0.500  0.000
Sc  0.000  0.000  0.500
Sc  0.500  0.000  0.000
Rh  0.500  0.500  0.500
Pt  0.000  0.000  0.000

The calculation puts the formation energy at -115 meV/atom. The value obtained for the energy relative to the lowest polymorph listed for this composition is 696 meV per atom. Its density of states at the Fermi level is 0.8579 states/eV per atom.

# 3
Here is a relaxed Pr4ScIn crystal from Alexandria. Energies are from PBE.

a = 5.517 Å, b = 5.515 Å, c = 8.904 Å
α = 72.13°, β = 71.95°, γ = 59.99°
Sites, in units of the cell vectors:
Pr  0.631  0.632  0.106
Pr  0.369  0.368  0.894
Pr  0.127  0.128  0.619
Pr  0.873  0.872  0.381
Sc  0.000  0.000  0.000
In  0.500  0.500  0.500

The calculation puts the formation energy at 234 meV/atom. Its density of states at the Fermi level is 1.2225 states/eV per atom.

# 4
Here is a relaxed SbTe crystal from Alexandria. Energies are from PBE.

a = 12.513 Å, b = 4.372 Å, c = 7.701 Å
α = 90.00°, β = 90.00°, γ = 90.00°
Sites, in units of the cell vectors:
Sb  0.830  0.243  0.719
Sb  0.670  0.757  0.219
Sb  0.170  0.243  0.719
Sb  0.330  0.757  0.219
Sb  0.000  0.009  0.465
Sb  0.500  0.991  0.965
Te  0.826  0.255  0.140
Te  0.674  0.745  0.640
Te  0.174  0.255  0.140
Te  0.326  0.745  0.640
Te  0.000  0.741  0.820
Te  0.500  0.259  0.320

The value obtained for the energy relative to the lowest polymorph listed for this composition is 181 meV per atom. As for the formation energy (no corrections): 0.076 eV per atom. Its density of states at the Fermi level is 0.5017 states/eV per atom.

# 5
Here is a relaxed SrFe2Hg crystal from Alexandria. Energies are from PBE.

a = 4.805 Å, b = 4.805 Å, c = 5.785 Å
α = 69.97°, β = 69.97°, γ = 49.72°
Sites, in units of the cell vectors:
Fe  0.032  0.032  0.832
Fe  0.468  0.468  0.668
Hg  0.750  0.750  0.750
Sr  0.250  0.250  0.250

The calculation puts the formation energy at 343 meV/atom. Its density of states at the Fermi level is 0.7939 states/eV per atom.

# 6
Here is a relaxed SbW5 crystal from Alexandria. Energies are from PBE.

a = 4.973 Å, b = 4.973 Å, c = 4.740 Å
α = 90.00°, β = 90.00°, γ = 120.00°
Sites, in units of the cell vectors:
Sb  0.000  0.000  0.500
W  0.656  0.000  0.000
W  0.344  0.344  0.000
W  0.000  0.656  0.000
W  0.667  0.333  0.500
W  0.333  0.667  0.500

The value obtained for the energy relative to the lowest polymorph listed for this composition is 220 meV per atom. As for the formation energy (no corrections): 0.516 eV per atom. Its density of states at the Fermi level is 0.9166 states/eV per atom.

# 7
Here is a relaxed YSiP2Cl crystal from Alexandria. Energies are from PBE.

a = 5.336 Å, b = 5.336 Å, c = 5.055 Å
α = 90.00°, β = 90.00°, γ = 90.00°
Sites, in units of the cell vectors:
Y  0.000  0.000  0.000
P  0.000  0.500  0.000
P  0.500  0.000  0.000
Si  0.500  0.500  0.500
Cl  0.000  0.000  0.500

The value obtained for the energy relative to the lowest polymorph listed for this composition is 690 meV per atom. As for the formation energy (no corrections): 0.372 eV per atom. Its density of states at the Fermi level is 1.0090 states/eV per atom.

# 8
Here is a relaxed ZrHgB crystal from Alexandria. Energies are from PBE.

a = 3.497 Å, b = 4.589 Å, c = 7.305 Å
α = 99.36°, β = 90.00°, γ = 112.39°
Sites, in units of the cell vectors:
Zr  0.121  0.241  0.850
Zr  0.879  0.759  0.150
Hg  0.372  0.744  0.596
Hg  0.628  0.256  0.404
B  0.587  0.175  0.069
B  0.413  0.825  0.931

The calculation puts the formation energy at -181 meV/atom. The value obtained for the energy relative to the lowest polymorph listed for this composition is 374 meV per atom. Its density of states at the Fermi level is 0.5061 states/eV per atom.

# 9
Here is a relaxed ZnAsC2 crystal from Alexandria. Energies are from PBE.

a = 4.708 Å, b = 4.708 Å, c = 5.604 Å
α = 65.16°, β = 65.16°, γ = 90.00°
Sites, in units of the cell vectors:
C  0.647  0.125  0.250
C  0.103  0.625  0.250
C  0.375  0.353  0.750
C  0.875  0.897  0.750
As  0.000  0.000  0.000
As  0.750  0.250  0.500
Zn  0.500  0.500  0.000
Zn  0.250  0.750  0.500

The calculation puts the formation energy at 992 meV/atom. The value obtained for the energy relative to the lowest polymorph listed for this composition is 0 meV per atom. Its density of states at the Fermi level is 0.4721 states/eV per atom.

# 10
Here is a relaxed KCuSi crystal from Alexandria. Energies are from PBE.

a = 5.077 Å, b = 5.077 Å, c = 5.077 Å
α = 60.00°, β = 60.00°, γ = 60.00°
Sites, in units of the cell vectors:
Cu  0.500  0.500  0.500
K  0.750  0.750  0.750
Si  0.000  0.000  0.000

The value obtained for the energy relative to the lowest polymorph listed for this composition is 1392 meV per atom. As for the formation energy (no corrections): 1.384 eV per atom. Its density of states at the Fermi level is 0.8759 states/eV per atom.

# 11
Here is a relaxed Al2FeH crystal from Alexandria. Energies are from PBE.

a = 2.908 Å, b = 2.908 Å, c = 7.147 Å
α = 78.26°, β = 78.26°, γ = 60.00°
Sites, in units of the cell vectors:
H  0.000  0.000  0.000
Fe  0.500  0.500  0.500
Al  0.084  0.084  0.749
Al  0.916  0.916  0.251

The value obtained for the energy relative to the lowest polymorph listed for this composition is 0 meV per atom. Its density of states at the Fermi level is 0.2796 states/eV per atom.

# 12
Here is a relaxed CdSnPt2 crystal from Alexandria. Energies are from PBE.

a = 7.432 Å, b = 7.432 Å, c = 5.997 Å
α = 51.71°, β = 51.71°, γ = 90.00°
Sites, in units of the cell vectors:
Sn  0.000  0.000  0.000
Sn  0.750  0.250  0.500
Pt  0.639  0.125  0.250
Pt  0.111  0.625  0.250
Pt  0.375  0.361  0.750
Pt  0.875  0.889  0.750
Cd  0.500  0.500  0.000
Cd  0.250  0.750  0.500

The calculation puts the formation energy at -130 meV/atom. Its density of states at the Fermi level is 0.3588 states/eV per atom.

# 13
Here is a relaxed TeP4Se crystal from Alexandria. Energies are from PBE.

a = 5.744 Å, b = 5.744 Å, c = 5.744 Å
α = 60.00°, β = 60.00°, γ = 60.00°
Sites, in units of the cell vectors:
Te  0.000  0.000  0.000
P  0.791  0.403  0.403
P  0.403  0.403  0.791
P  0.403  0.791  0.403
P  0.403  0.403  0.403
Se  0.750  0.750  0.750

The value obtained for the energy relative to the lowest polymorph listed for this composition is 352 meV per atom. As for the formation energy (no corrections): 0.616 eV per atom. Its density of states at the Fermi level is 0.8634 states/eV per atom.

# 14
Here is a relaxed Ho3IrPd crystal from Alexandria. Energies are from PBE.

a = 6.824 Å, b = 10.099 Å, c = 7.680 Å
α = 112.74°, β = 90.00°, γ = 90.00°
Sites, in units of the cell vectors:
Ho  0.062  0.680  0.850
Ho  0.938  0.320  0.150
Ho  0.562  0.820  0.150
Ho  0.438  0.180  0.850
Ho  0.498  0.491  0.760
Ho  0.502  0.509  0.240
Ho  0.998  0.009  0.240
Ho  0.002  0.991  0.760
Ho  0.956  0.319  0.671
Ho  0.044  0.681  0.329
Ho  0.456  0.181  0.329
Ho  0.544  0.819  0.671
Ir  0.205  0.442  0.977
Ir  0.795  0.558  0.023
Ir  0.705  0.058  0.023
Ir  0.295  0.942  0.977
Pd  0.798  0.550  0.531
Pd  0.202  0.450  0.469
Pd  0.298  0.950  0.469
Pd  0.702  0.050  0.531

The calculation puts the formation energy at -724 meV/atom. Its density of states at the Fermi level is 0.8170 states/eV per atom.

# 15
Here is a relaxed Na3SrV crystal from Alexandria. Energies are from PBE.

a = 6.356 Å, b = 6.356 Å, c = 6.356 Å
α = 90.00°, β = 90.00°, γ = 90.00°
Sites, in units of the cell vectors:
Sr  0.000  0.000  0.000
V  0.500  0.500  0.500
Na  0.000  0.500  0.000
Na  0.000  0.000  0.500
Na  0.500  0.000  0.000

The calculation puts the formation energy at 1362 meV/atom. The value obtained for the energy relative to the lowest polymorph listed for this composition is 613 meV per atom. Its density of states at the Fermi level is 2.0130 states/eV per atom.

# 16
Here is a relaxed BaSi3Pt crystal from Alexandria. Energies are from PBE.

a = 4.931 Å, b = 4.931 Å, c = 4.931 Å
α = 90.00°, β = 90.00°, γ = 90.00°
Sites, in units of the cell vectors:
Si  0.000  0.500  0.000
Si  0.000  0.000  0.500
Si  0.500  0.000  0.000
Ba  0.500  0.500  0.500
Pt  0.000  0.000  0.000

As for the formation energy (no corrections): 0.157 eV per atom. Its density of states at the Fermi level is 0.4062 states/eV per atom.

# 17
Here is a relaxed Sr2YHfAs4 crystal from Alexandria. Energies are from PBE.

a = 4.125 Å, b = 7.187 Å, c = 7.512 Å
α = 108.34°, β = 90.00°, γ = 90.00°
Sites, in units of the cell vectors:
Sr  0.500  0.000  0.500
Sr  0.000  0.500  0.500
Y  0.500  0.500  0.000
Hf  0.000  0.000  0.000
As  0.500  0.225  0.212
As  0.500  0.775  0.788
As  0.000  0.247  0.782
As  0.000  0.753  0.218

The calculation puts the formation energy at -1164 meV/atom. Its density of states at the Fermi level is 0.4498 states/eV per atom.

# 18
Here is a relaxed FeIr4Rh crystal from Alexandria. Energies are from PBE.

a = 2.724 Å, b = 3.816 Å, c = 8.107 Å
α = 90.00°, β = 90.00°, γ = 90.00°
Sites, in units of the cell vectors:
Fe  0.500  0.000  0.500
Ir  0.000  0.500  0.338
Ir  0.500  0.000  0.173
Ir  0.000  0.500  0.662
Ir  0.500  0.000  0.827
Rh  0.000  0.500  0.000

The calculation puts the formation energy at -34 meV/atom. The value obtained for the energy relative to the lowest polymorph listed for this composition is 0 meV per atom. Its density of states at the Fermi level is 1.0740 states/eV per atom.

# 19
Here is a relaxed ZrIn2TcMo crystal from Alexandria. Energies are from PBE.

a = 5.445 Å, b = 4.698 Å, c = 5.445 Å
α = 90.00°, β = 90.00°, γ = 90.00°
Sites, in units of the cell vectors:
Mo  0.500  0.500  0.500
Tc  0.000  0.500  0.000
Zr  0.000  0.000  0.000
In  0.000  0.000  0.500
In  0.500  0.000  0.000

The calculation puts the formation energy at 1647 meV/atom. Its density of states at the Fermi level is 0.7791 states/eV per atom.

# 20
Here is a relaxed K2CI crystal from Alexandria. Energies are from PBE.

a = 8.384 Å, b = 8.384 Å, c = 7.576 Å
α = 56.41°, β = 56.41°, γ = 90.00°
Sites, in units of the cell vectors:
I  0.000  0.000  0.000
I  0.750  0.250  0.500
K  0.571  0.125  0.250
K  0.179  0.625  0.250
K  0.375  0.429  0.750
K  0.875  0.821  0.750
C  0.500  0.500  0.000
C  0.250  0.750  0.500

The value obtained for the energy relative to the lowest polymorph listed for this composition is 0 meV per atom. As for the formation energy (no corrections): 0.470 eV per atom. Its density of states at the Fermi level is 0.0000 states/eV per atom.

# 21
Here is a relaxed FeCuSb crystal from Alexandria. Energies are from PBE.

a = 4.126 Å, b = 7.095 Å, c = 4.125 Å
α = 73.07°, β = 60.03°, γ = 73.07°
Sites, in units of the cell vectors:
Sb  0.387  0.067  0.535
Sb  0.865  0.634  0.013
Fe  0.258  0.456  0.406
Fe  0.994  0.246  0.143
Cu  0.127  0.851  0.273
Cu  0.626  0.351  0.774

As for the formation energy (no corrections): 0.069 eV per atom. Its density of states at the Fermi level is 0.8461 states/eV per atom.

# 22
Here is a relaxed Zr2CdBr crystal from Alexandria. Energies are from PBE.

a = 3.244 Å, b = 3.244 Å, c = 9.714 Å
α = 90.00°, β = 90.00°, γ = 90.00°
Sites, in units of the cell vectors:
Br  0.000  0.000  0.435
Zr  0.000  0.000  0.016
Zr  0.500  0.500  0.252
Cd  0.500  0.500  0.797

The value obtained for the energy relative to the lowest polymorph listed for this composition is 43 meV per atom. As for the formation energy (no corrections): -0.313 eV per atom. Its density of states at the Fermi level is 0.5140 states/eV per atom.

# 23
Here is a relaxed CdSi2Hg2 crystal from Alexandria. Energies are from PBE.

a = 7.069 Å, b = 7.069 Å, c = 4.345 Å
α = 90.00°, β = 90.00°, γ = 90.00°
Sites, in units of the cell vectors:
Si  0.381  0.881  0.000
Si  0.881  0.619  0.000
Si  0.619  0.119  0.000
Si  0.119  0.381  0.000
Hg  0.193  0.693  0.500
Hg  0.693  0.807  0.500
Hg  0.807  0.307  0.500
Hg  0.307  0.193  0.500
Cd  0.000  0.000  0.000
Cd  0.500  0.500  0.000

The value obtained for the energy relative to the lowest polymorph listed for this composition is 0 meV per atom. As for the formation energy (no corrections): 0.376 eV per atom. Its density of states at the Fermi level is 0.3792 states/eV per atom.

# 24
Here is a relaxed Nd2TmAl2 crystal from Alexandria. Energies are from PBE.

a = 4.915 Å, b = 5.832 Å, c = 5.832 Å
α = 71.06°, β = 65.08°, γ = 65.08°
Sites, in units of the cell vectors:
Nd  0.198  0.302  0.302
Nd  0.802  0.698  0.698
Tm  0.000  0.000  0.000
Al  0.500  0.301  0.699
Al  0.500  0.699  0.301

The calculation puts the formation energy at -306 meV/atom. Its density of states at the Fermi level is 0.8782 states/eV per atom.

# 25
Here is a relaxed YTlAg crystal from Alexandria. Energies are from PBE.

a = 4.936 Å, b = 4.936 Å, c = 3.446 Å
α = 90.00°, β = 90.00°, γ = 120.00°
Sites, in units of the cell vectors:
Y  0.333  0.667  0.666
Tl  0.667  0.333  0.166
Ag  0.000  0.000  0.167

The calculation puts the formation energy at -297 meV/atom. Its density of states at the Fermi level is 0.6752 states/eV per atom.

# 26
Here is a relaxed Ce4Sb2C crystal from Alexandria. Energies are from PBE.

a = 4.771 Å, b = 4.976 Å, c = 7.945 Å
α = 108.25°, β = 90.00°, γ = 90.00°
Sites, in units of the cell vectors:
Sb  0.500  0.348  0.697
Sb  0.500  0.652  0.303
C  0.000  0.000  0.000
Ce  0.000  0.500  0.000
Ce  0.500  0.000  0.000
Ce  0.000  0.169  0.337
Ce  0.000  0.831  0.663

The value obtained for the energy relative to the lowest polymorph listed for this composition is 27 meV per atom. As for the formation energy (no corrections): -0.662 eV per atom. Its density of states at the Fermi level is 2.2906 states/eV per atom.